[1]
## Be2GaCl (PBE-GGA)

Data for a relaxed structure of Be2GaCl.

Summary:
**Distance to the lowest polymorph of the same formula**: 0.602 eV per atom
**Uncorrected energy**: -2.160 eV per atom
**Magnetic moment**: 0.000 Bohr magnetons per cell
**ΔE_f (raw)**: 0.9217 eV per atom

a = 6.296 Å, b = 6.296 Å, c = 6.296 Å
α = 90.00°, β = 90.00°, γ = 90.00°
Space group Fm-3m (No. 225)
One atom of each set of equivalent atoms:
Be  0.250  0.250  0.250 (multiplicity 8)
Ga  0.000  0.000  0.000 (multiplicity 4)
Cl  0.000  0.000  0.500 (multiplicity 4)

***

[2]
## Be2Ga2Cl (PBE-GGA)

Data for a relaxed structure of Be2Ga2Cl.

Summary:
**Distance to the lowest polymorph of the same formula**: 0.000 eV per atom
**Uncorrected energy**: -2.819 eV per atom
**Magnetic moment**: 0.000 Bohr magnetons per cell
**ΔE_f (raw)**: 0.2511 eV per atom

a = 7.218 Å, b = 7.218 Å, c = 2.934 Å
α = 90.00°, β = 90.00°, γ = 90.00°
Space group P4/mbm (No. 127)
One atom of each set of equivalent atoms:
Be  0.105  0.395  0.000 (multiplicity 4)
Ga  0.193  0.693  0.500 (multiplicity 4)
Cl  0.000  0.000  0.000 (multiplicity 2)

***

[3]
## BeGa2Cl4 (PBE-GGA)

Data for a relaxed structure of BeGa2Cl4.

Summary:
**Uncorrected energy**: -3.456 eV per atom
**Magnetic moment**: 0.000 Bohr magnetons per cell
**ΔE_f (raw)**: -1.0032 eV per atom

a = 10.308 Å, b = 7.793 Å, c = 6.057 Å
α = 90.00°, β = 118.17°, γ = 90.00°
Space group Cm (No. 8)
One atom of each set of equivalent atoms:
Be  0.000  0.000  0.000 (multiplicity 2)
Ga  0.386  0.224  0.499 (multiplicity 4)
Cl  0.102  0.217  0.983 (multiplicity 4)
Cl  0.293  0.500  0.691 (multiplicity 2)
Cl  0.497  0.500  0.337 (multiplicity 2)

***

[4]
## BeGaCl2 (PBE-GGA)

Data for a relaxed structure of BeGaCl2.

Summary:
**Distance to the lowest polymorph of the same formula**: 0.000 eV per atom
**Uncorrected energy**: -3.287 eV per atom
**Magnetic moment**: 0.000 Bohr magnetons per cell
**ΔE_f (raw)**: -0.6757 eV per atom

a = 3.1755 Å, b = 3.1755 Å, c = 35.5278 Å
α = 90.00°, β = 90.00°, γ = 120.00°
Space group R-3m (No. 166, hexagonal axes)
One atom of each set of equivalent atoms:
Be  0.0000  0.0000  0.0000 (multiplicity 3)
Ga  0.0000  0.0000  0.5000 (multiplicity 3)
Cl  0.0000  0.0000  0.3692 (multiplicity 6)

***

[5]
## BeGa2Cl (PBE-GGA)

Data for a relaxed structure of BeGa2Cl.

Summary:
**Distance to the lowest polymorph of the same formula**: 0.308 eV per atom
**Uncorrected energy**: -2.493 eV per atom
**Magnetic moment**: 0.000 Bohr magnetons per cell
**ΔE_f (raw)**: 0.4140 eV per atom

a = 6.747 Å, b = 6.747 Å, c = 6.747 Å
α = 90.00°, β = 90.00°, γ = 90.00°
Space group Fm-3m (No. 225)
One atom of each set of equivalent atoms:
Be  0.000  0.000  0.000 (multiplicity 4)
Ga  0.250  0.250  0.250 (multiplicity 8)
Cl  0.000  0.000  0.500 (multiplicity 4)

***

[6]
## BeGaCl2 (PBE-GGA)

Data for a relaxed structure of BeGaCl2.

Summary:
**Distance to the lowest polymorph of the same formula**: 0.221 eV per atom
**Uncorrected energy**: -3.066 eV per atom
**Magnetic moment**: 0.000 Bohr magnetons per cell
**ΔE_f (raw)**: -0.4542 eV per atom

a = 3.6176 Å, b = 3.6176 Å, c = 30.2757 Å
α = 90.00°, β = 90.00°, γ = 120.00°
Space group R-3m (No. 166, hexagonal axes)
One atom of each set of equivalent atoms:
Be  0.0000  0.0000  0.0000 (multiplicity 3)
Ga  0.0000  0.0000  0.5000 (multiplicity 3)
Cl  0.0000  0.0000  0.0593 (multiplicity 6)

***

[7]
## BeGa2Cl (PBE-GGA)

Data for a relaxed structure of BeGa2Cl.

Summary:
**Distance to the lowest polymorph of the same formula**: 0.000 eV per atom
**Uncorrected energy**: -2.801 eV per atom
**Magnetic moment**: 3.858 Bohr magnetons per cell
**ΔE_f (raw)**: 0.1058 eV per atom

a = 5.621 Å, b = 5.621 Å, c = 11.838 Å
α = 90.00°, β = 90.00°, γ = 90.00°
Space group I-42d (No. 122)
One atom of each set of equivalent atoms:
Be  0.000  0.000  0.000 (multiplicity 4)
Ga  0.168  0.250  0.125 (multiplicity 8)
Cl  0.000  0.000  0.500 (multiplicity 4)

***

[8]
## Be2Ga2Cl (PBE-GGA)

Data for a relaxed structure of Be2Ga2Cl.

Summary:
**Distance to the lowest polymorph of the same formula**: 0.201 eV per atom
**Uncorrected energy**: -2.619 eV per atom
**Magnetic moment**: 0.000 Bohr magnetons per cell
**ΔE_f (raw)**: 0.4520 eV per atom

a = 4.155 Å, b = 4.155 Å, c = 9.889 Å
α = 90.00°, β = 90.00°, γ = 90.00°
Space group I4/mmm (No. 139)
One atom of each set of equivalent atoms:
Be  0.000  0.000  0.111 (multiplicity 4)
Ga  0.000  0.500  0.250 (multiplicity 4)
Cl  0.000  0.000  0.500 (multiplicity 2)

***

[9]
## BeGaCl2 (PBE-GGA)

Data for a relaxed structure of BeGaCl2.

Summary:
**Distance to the lowest polymorph of the same formula**: 0.223 eV per atom
**Uncorrected energy**: -3.064 eV per atom
**Magnetic moment**: 4.000 Bohr magnetons per cell
**ΔE_f (raw)**: -0.4524 eV per atom

a = 6.485 Å, b = 6.485 Å, c = 9.111 Å
α = 90.00°, β = 90.00°, γ = 90.00°
Space group I-42d (No. 122)
One atom of each set of equivalent atoms:
Be  0.000  0.000  0.000 (multiplicity 4)
Ga  0.000  0.000  0.500 (multiplicity 4)
Cl  0.080  0.250  0.125 (multiplicity 8)

***

[10]
## Be2GaCl (PBE-GGA)

Data for a relaxed structure of Be2GaCl.

Summary:
**Distance to the lowest polymorph of the same formula**: 0.000 eV per atom
**Uncorrected energy**: -2.762 eV per atom
**Magnetic moment**: 0.000 Bohr magnetons per cell
**ΔE_f (raw)**: 0.3195 eV per atom

a = 5.454 Å, b = 5.454 Å, c = 9.271 Å
α = 90.00°, β = 90.00°, γ = 90.00°
Space group I-42d (No. 122)
One atom of each set of equivalent atoms:
Be  0.237  0.250  0.125 (multiplicity 8)
Ga  0.000  0.000  0.500 (multiplicity 4)
Cl  0.000  0.000  0.000 (multiplicity 4)

***

[11]
## BeGaCl2 (PBE-GGA)

Data for a relaxed structure of BeGaCl2.

Summary:
**Distance to the lowest polymorph of the same formula**: 0.818 eV per atom
**Uncorrected energy**: -2.469 eV per atom
**Magnetic moment**: 3.367 Bohr magnetons per cell
**ΔE_f (raw)**: 0.1424 eV per atom

a = 6.912 Å, b = 6.912 Å, c = 6.912 Å
α = 90.00°, β = 90.00°, γ = 90.00°
Space group Fm-3m (No. 225)
One atom of each set of equivalent atoms:
Be  0.000  0.000  0.000 (multiplicity 4)
Ga  0.000  0.000  0.500 (multiplicity 4)
Cl  0.250  0.250  0.250 (multiplicity 8)

***

[12]
## NaBeGaCl4 (PBE-GGA)

Data for a relaxed structure of NaBeGaCl4.

Summary:
**Uncorrected energy**: -3.537 eV per atom
**Magnetic moment**: 0.000 Bohr magnetons per cell
**ΔE_f (raw)**: -1.3285 eV per atom

a = 6.591 Å, b = 6.749 Å, c = 8.118 Å
α = 90.00°, β = 107.60°, γ = 90.00°
Space group P2_1/m (No. 11)
One atom of each set of equivalent atoms:
Na  0.228  0.250  0.059 (multiplicity 2)
Be  0.230  0.750  0.811 (multiplicity 2)
Ga  0.265  0.250  0.594 (multiplicity 2)
Cl  0.031  0.510  0.766 (multiplicity 4)
Cl  0.409  0.750  0.064 (multiplicity 2)
Cl  0.412  0.750  0.652 (multiplicity 2)